The following is a DFT calculation (GGA-PBE) of a relaxed structure of SnH2Br2Cl2.

Values from the calculation:
* calculated volume: 385.5 Å³/cell
* raw total energy: -3.054 eV per atom

abc: 13.5643 3.9387 9.6864
angles: 90.00 131.84 90.00
Last column: nearest neighbours and their distance in Å.
Fractional positions:
1 Sn 0.0000 0.0000 0.0000  2 Cl 2.36
2 Sn 0.5000 0.5000 0.0000  2 Cl 2.36
3 H 0.0366 0.0000 0.5272  1 H 0.75
4 H 0.4634 0.5000 0.4728  1 H 0.75
5 H 0.5366 0.5000 0.5272  1 H 0.75
6 H 0.9634 0.0000 0.4728  1 H 0.75
7 Br 0.0643 0.5000 0.8741  2 Sn 2.75
8 Br 0.4357 0.0000 0.1259  2 Sn 2.75
9 Br 0.5643 0.0000 0.8741  2 Sn 2.75
10 Br 0.9357 0.5000 0.1259  2 Sn 2.75
11 Cl 0.2192 0.0000 0.2882  1 Sn 2.36
12 Cl 0.2808 0.5000 0.7118  1 Sn 2.36
13 Cl 0.7192 0.5000 0.2882  1 Sn 2.36
14 Cl 0.7808 0.0000 0.7118  1 Sn 2.36



The following is a DFT calculation (GGA-PBE) of a relaxed structure of PmNdLuGa.

Values from the calculation:
* DFT formation energy: -0.5 eV per formula unit
* calculated volume: 442.9 Å³/cell

abc: 7.6227 7.6227 7.6227
angles: 90.00 90.00 90.00
Last column: nearest neighbours and their distance in Å.
Fractional positions:
1 Pm 0.0000 0.0000 0.0000  4 Ga 3.30, 4 Lu 3.30
2 Pm 0.0000 0.5000 0.5000  4 Lu 3.30, 4 Ga 3.30
3 Pm 0.5000 0.0000 0.5000  4 Lu 3.30, 4 Ga 3.30
4 Pm 0.5000 0.5000 0.0000  4 Lu 3.30, 4 Ga 3.30
5 Nd 0.0000 0.0000 0.5000  4 Lu 3.30, 4 Ga 3.30
6 Nd 0.0000 0.5000 0.0000  4 Lu 3.30, 4 Ga 3.30
7 Nd 0.5000 0.0000 0.0000  4 Lu 3.30, 4 Ga 3.30
8 Nd 0.5000 0.5000 0.5000  4 Lu 3.30, 4 Ga 3.30
9 Lu 0.2500 0.2500 0.2500  4 Nd 3.30, 4 Pm 3.30
10 Lu 0.2500 0.7500 0.7500  4 Nd 3.30, 4 Pm 3.30
11 Lu 0.7500 0.2500 0.7500  4 Nd 3.30, 4 Pm 3.30
12 Lu 0.7500 0.7500 0.2500  4 Nd 3.30, 4 Pm 3.30
13 Ga 0.2500 0.2500 0.7500  4 Nd 3.30, 4 Pm 3.30
14 Ga 0.2500 0.7500 0.2500  4 Nd 3.30, 4 Pm 3.30
15 Ga 0.7500 0.2500 0.2500  4 Nd 3.30, 4 Pm 3.30
16 Ga 0.7500 0.7500 0.7500  4 Pm 3.30, 4 Nd 3.30



The following is a DFT calculation (GGA-PBE) of a relaxed structure of LiLa2.

Values from the calculation:
* distance to the lowest polymorph of the same formula: 15.8 meV per atom
* DFT formation energy: 0.2 eV per formula unit
* calculated volume: 379.6 Å³/cell

abc: 3.7536 17.4686 5.7894
angles: 90.00 90.00 90.00
Last column: nearest neighbours and their distance in Å.
Fractional positions:
1 Li 0.0000 0.0664 0.2500  8 La 3.37-3.48, 4 Li 3.71-3.75
2 Li 0.0000 0.9336 0.7500  8 La 3.37-3.48, 4 Li 3.71-3.75
3 Li 0.5000 0.4336 0.7500  8 La 3.37-3.48, 4 Li 3.71-3.75
4 Li 0.5000 0.5664 0.2500  8 La 3.37-3.48, 4 Li 3.71-3.75
5 La 0.0000 0.2736 0.7500  2 Li 3.37, 10 La 3.55-3.75
6 La 0.0000 0.4064 0.2500  6 Li 3.37-3.48, 6 La 3.66-3.75
7 La 0.0000 0.5936 0.7500  6 Li 3.37-3.48, 6 La 3.66-3.75
8 La 0.0000 0.7264 0.2500  2 Li 3.37, 10 La 3.55-3.75
9 La 0.5000 0.0936 0.7500  6 Li 3.37-3.48, 6 La 3.66-3.75
10 La 0.5000 0.2264 0.2500  2 Li 3.37, 10 La 3.55-3.75
11 La 0.5000 0.7736 0.7500  2 Li 3.37, 10 La 3.55-3.75
12 La 0.5000 0.9064 0.2500  6 Li 3.37-3.48, 6 La 3.66-3.75



The following is a DFT calculation (GGA-PBE) of a relaxed structure of Si2BOF.

Values from the calculation:
* calculated volume: 70.8 Å³/cell
* formation energy without anion corrections: 1233 meV/atom

abc: 4.6577 4.6577 3.2656
angles: 90.00 90.00 90.00
Last column: nearest neighbours and their distance in Å.
Fractional positions:
1 Si 0.0000 0.5000 0.0000  2 F 2.33
2 Si 0.5000 0.0000 0.0000  2 F 2.33
3 B 0.0000 0.0000 0.5000  2 F 1.63
4 O 0.5000 0.5000 0.5000  8 Si 2.84
5 F 0.0000 0.0000 0.0000  2 B 1.63



The following is a DFT calculation (GGA-PBE) of a relaxed structure of Sr2Br.

Values from the calculation:
* distance to the lowest polymorph of the same formula: 344.6 meV per atom
* calculated volume: 736.5 Å³/cell
* formation energy without anion corrections: -617 meV/atom

abc: 10.6602 10.6602 7.4838
angles: 90.00 90.00 120.00
Last column: nearest neighbours and their distance in Å.
Fractional positions:
1 Sr 0.0000 0.0000 0.0000  8 Sr 3.74-4.10
2 Sr 0.0000 0.0000 0.5000  8 Sr 3.74-4.10
3 Sr 0.1976 0.3953 0.2500  2 Br 3.11
4 Sr 0.1976 0.8024 0.2500  2 Br 3.11
5 Sr 0.3953 0.1976 0.7500  2 Br 3.11
6 Sr 0.6047 0.8024 0.2500  2 Br 3.11
7 Sr 0.8024 0.1976 0.7500  2 Br 3.11
8 Sr 0.8024 0.6047 0.7500  2 Br 3.11
9 Br 0.3333 0.6667 0.0041  3 Sr 3.11
10 Br 0.3333 0.6667 0.4959  3 Sr 3.11
11 Br 0.6667 0.3333 0.5041  3 Sr 3.11
12 Br 0.6667 0.3333 0.9959  3 Sr 3.11



The following is a DFT calculation (GGA-PBE) of a relaxed structure of La2CoAsRu.

Values from the calculation:
* DFT formation energy: -0.6 eV per formula unit
* calculated volume: 125.0 Å³/cell

abc: 5.3478 5.3478 4.3707
angles: 90.00 90.00 90.00
Last column: nearest neighbours and their distance in Å.
Fractional positions:
1 La 0.0000 0.5000 0.0000  2 Co 2.67
2 La 0.5000 0.0000 0.0000  2 Co 2.67
3 Co 0.0000 0.0000 0.0000  2 Ru 2.19
4 As 0.5000 0.5000 0.5000  8 La 3.45, 4 Ru 3.78
5 Ru 0.0000 0.0000 0.5000  2 Co 2.19



The following is a DFT calculation (GGA-PBE) of a relaxed structure of Sm2Ho4Mg.

Values from the calculation:
* distance to the lowest polymorph of the same formula: 0.0 meV per atom
* DFT formation energy: 0.7 eV per formula unit
* calculated volume: 434.6 Å³/cell

abc: 6.0308 6.5181 11.4525
angles: 90.00 105.15 90.00
Last column: nearest neighbours and their distance in Å.
Fractional positions:
1 Sm 0.1079 0.2500 0.0034  4 Ho 3.25-3.59, 1 Mg 3.36, 2 Sm 3.50
2 Sm 0.2176 0.2500 0.5761  9 Ho 3.33-3.62
3 Sm 0.7824 0.7500 0.4239  9 Ho 3.33-3.62
4 Sm 0.8921 0.7500 0.9966  4 Ho 3.25-3.59, 1 Mg 3.36, 2 Sm 3.50
5 Ho 0.1455 0.5007 0.2870  5 Ho 3.25-3.47, 1 Mg 3.33, 3 Sm 3.42-3.62
6 Ho 0.1455 0.9993 0.2870  5 Ho 3.25-3.47, 1 Mg 3.33, 3 Sm 3.42-3.62
7 Ho 0.3555 0.7500 0.5590  1 Mg 3.16, 4 Sm 3.33-3.40, 4 Ho 3.45-3.47
8 Ho 0.4707 0.7500 0.1250  3 Mg 3.23-3.44, 3 Sm 3.25-3.45, 2 Ho 3.44
9 Ho 0.5293 0.2500 0.8750  3 Mg 3.23-3.44, 3 Sm 3.25-3.45, 2 Ho 3.44
10 Ho 0.6445 0.2500 0.4410  1 Mg 3.16, 4 Sm 3.33-3.40, 4 Ho 3.45-3.47
11 Ho 0.8545 0.0007 0.7130  5 Ho 3.25-3.47, 1 Mg 3.33, 3 Sm 3.42-3.62
12 Ho 0.8545 0.4993 0.7130  5 Ho 3.25-3.47, 1 Mg 3.33, 3 Sm 3.42-3.62
13 Mg 0.3423 0.7500 0.8329  6 Ho 3.16-3.44, 1 Sm 3.36
14 Mg 0.6577 0.2500 0.1671  6 Ho 3.16-3.44, 1 Sm 3.36



The following is a DFT calculation (GGA-PBE) of a relaxed structure of Hf3Si5Ir6.

Values from the calculation:
* calculated volume: 431.0 Å³/cell
* formation energy without anion corrections: -928 meV/atom

abc: 3.9945 12.0577 8.9481
angles: 90.00 90.00 90.00
Last column: nearest neighbours and their distance in Å.
Fractional positions:
1 Hf 0.2500 0.0549 0.2443  6 Ir 2.63-2.90, 2 Si 2.80
2 Hf 0.2500 0.4451 0.2443  6 Ir 2.63-2.90, 2 Si 2.80
3 Hf 0.2500 0.7500 0.2501  6 Si 2.86-2.91, 4 Ir 3.07-3.09
4 Hf 0.7500 0.2500 0.7499  6 Si 2.86-2.91, 4 Ir 3.07-3.09
5 Hf 0.7500 0.5549 0.7557  6 Ir 2.63-2.90, 2 Si 2.80
6 Hf 0.7500 0.9451 0.7557  6 Ir 2.63-2.90, 2 Si 2.80
7 Si 0.2500 0.0914 0.8518  5 Ir 2.38-2.46
8 Si 0.2500 0.4086 0.8518  5 Ir 2.38-2.46
9 Si 0.2500 0.6361 0.5304  5 Ir 2.42-2.56
10 Si 0.2500 0.7500 0.8134  6 Ir 2.51-2.62
11 Si 0.2500 0.8639 0.5304  5 Ir 2.42-2.56
12 Si 0.7500 0.1361 0.4696  5 Ir 2.42-2.56
13 Si 0.7500 0.2500 0.1866  6 Ir 2.51-2.62
14 Si 0.7500 0.3639 0.4696  5 Ir 2.42-2.56
15 Si 0.7500 0.5914 0.1482  5 Ir 2.38-2.46
16 Si 0.7500 0.9086 0.1482  5 Ir 2.38-2.46
17 Ir 0.2500 0.0649 0.5885  4 Si 2.38-2.48
18 Ir 0.2500 0.2500 0.0128  4 Si 2.39-2.53
19 Ir 0.2500 0.2500 0.3761  6 Si 2.56-2.62, 2 Hf 2.63
20 Ir 0.2500 0.4351 0.5885  4 Si 2.38-2.48
21 Ir 0.2500 0.5867 0.9869  4 Si 2.46-2.51
22 Ir 0.2500 0.9133 0.9869  4 Si 2.46-2.51
23 Ir 0.7500 0.0867 0.0131  4 Si 2.46-2.51
24 Ir 0.7500 0.4133 0.0131  4 Si 2.46-2.51
25 Ir 0.7500 0.5649 0.4115  4 Si 2.38-2.48
26 Ir 0.7500 0.7500 0.6239  6 Si 2.56-2.62, 2 Hf 2.63
27 Ir 0.7500 0.7500 0.9872  4 Si 2.39-2.53
28 Ir 0.7500 0.9351 0.4115  4 Si 2.38-2.48



The following is a DFT calculation (GGA-PBE) of a relaxed structure of BeNb3Au.

Values from the calculation:
* distance to the lowest polymorph of the same formula: 1464.8 meV per atom
* DFT formation energy: 9.3 eV per formula unit
* calculated volume: 121.2 Å³/cell

abc: 4.9491 4.9491 4.9491
angles: 90.00 90.00 90.00
Last column: nearest neighbours and their distance in Å.
Fractional positions:
1 Be 0.0000 0.0000 0.0000  12 Nb 3.50
2 Nb 0.0000 0.5000 0.5000  2 Au 2.47
3 Nb 0.5000 0.0000 0.5000  2 Au 2.47
4 Nb 0.5000 0.5000 0.0000  2 Au 2.47
5 Au 0.5000 0.5000 0.5000  6 Nb 2.47



The following is a DFT calculation (GGA-PBE) of a relaxed structure of BaCaTe2I.

Values from the calculation:
* distance to the lowest polymorph of the same formula: 612.5 meV per atom
* calculated volume: 262.6 Å³/cell
* formation energy without anion corrections: -559 meV/atom

abc: 6.3981 6.3981 6.4150
angles: 90.00 90.00 90.00
Last column: nearest neighbours and their distance in Å.
Fractional positions:
1 Ba 0.0000 0.0000 0.0000  4 Te 3.20, 2 I 3.21
2 Ca 0.5000 0.5000 0.5000  4 I 4.52, 8 Te 4.53
3 Te 0.0000 0.5000 0.0000  2 Ba 3.20
4 Te 0.5000 0.0000 0.0000  2 Ba 3.20
5 I 0.0000 0.0000 0.5000  2 Ba 3.21



The following is a DFT calculation (GGA-PBE) of a relaxed structure of Ca6CdAg3.

Values from the calculation:
* DFT formation energy: -2.2 eV per formula unit
* calculated volume: 631.2 Å³/cell

abc: 11.3984 4.3941 13.4742
angles: 90.00 110.72 90.00
Last column: nearest neighbours and their distance in Å.
Fractional positions:
1 Ca 0.0192 0.2500 0.3835  3 Ag 3.01-3.19
2 Ca 0.0798 0.2500 0.9030  4 Ag 3.20-3.55
3 Ca 0.2408 0.7500 0.3227  3 Ag 3.08-3.09, 2 Cd 3.16
4 Ca 0.3367 0.7500 0.7943  4 Ag 3.10-3.47, 1 Cd 3.32
5 Ca 0.3389 0.7500 0.0960  3 Ag 3.07-3.27, 2 Cd 3.29
6 Ca 0.3927 0.2500 0.5614  2 Ag 3.07, 2 Cd 3.21
7 Ca 0.6073 0.7500 0.4386  2 Ag 3.07, 2 Cd 3.21
8 Ca 0.6611 0.2500 0.9040  3 Ag 3.07-3.27, 2 Cd 3.29
9 Ca 0.6633 0.2500 0.2057  4 Ag 3.10-3.47, 1 Cd 3.32
10 Ca 0.7592 0.2500 0.6773  3 Ag 3.08-3.09, 2 Cd 3.16
11 Ca 0.9202 0.7500 0.0970  4 Ag 3.20-3.55
12 Ca 0.9808 0.7500 0.6165  3 Ag 3.01-3.19
13 Cd 0.4228 0.2500 0.2900  1 Ag 3.09, 7 Ca 3.16-3.32
14 Cd 0.5772 0.7500 0.7100  1 Ag 3.09, 7 Ca 3.16-3.32
15 Ag 0.1399 0.2500 0.1540  7 Ca 3.08-3.44, 1 Cd 3.09
16 Ag 0.1953 0.7500 0.5356  7 Ca 3.01-3.28
17 Ag 0.4098 0.2500 0.9682  2 Ag 2.92, 5 Ca 3.07-3.27
18 Ag 0.5902 0.7500 0.0318  2 Ag 2.92, 5 Ca 3.07-3.27
19 Ag 0.8047 0.2500 0.4644  7 Ca 3.01-3.28
20 Ag 0.8601 0.7500 0.8460  7 Ca 3.08-3.44, 1 Cd 3.09



The following is a DFT calculation (GGA-PBE) of a relaxed structure of KInAu2.

Values from the calculation:
* DFT formation energy: -0.6 eV per formula unit
* calculated volume: 200.3 Å³/cell

abc: 3.4283 5.4103 10.8011
angles: 90.00 90.00 90.00
Last column: nearest neighbours and their distance in Å.
Fractional positions:
1 K 0.0000 0.0000 0.0000  8 Au 3.20-3.58, 2 K 3.43, 4 In 3.53-3.57
2 K 0.5000 0.5000 0.5000  8 Au 3.20-3.58, 2 K 3.43, 4 In 3.53-3.57
3 In 0.0000 0.5000 0.2097  2 Au 2.89
4 In 0.5000 0.0000 0.7097  2 Au 2.89
5 Au 0.0000 0.0000 0.4946  2 Au 2.86, 2 In 2.89
6 Au 0.0000 0.5000 0.7831  2 Au 2.86
7 Au 0.5000 0.0000 0.2831  2 Au 2.86
8 Au 0.5000 0.5000 0.9946  2 Au 2.86, 2 In 2.89